No. 1
{"formula": "ErAg2Pd2", "functional": "GGA-PBE", "state": "optimized geometry", "lattice": [[4.6542, 0.0000, 0.0000], [0.0000, 4.9160, -3.0215], [-2.3271, -3.4962, 10.8363]], "species": ["Pd", "Pd", "Pd", "Pd", "Er", "Er", "Ag", "Ag", "Ag", "Ag"], "frac_coords": [[0.1370, 0.4104, 0.2740], [0.8630, 0.0896, 0.7260], [0.1370, 0.9104, 0.2740], [0.8630, 0.5896, 0.7260], [0.7468, 0.7500, 0.0000], [0.2532, 0.2500, 0.0000], [0.3030, 0.1845, 0.6227], [0.3197, 0.6845, 0.6227], [0.6970, 0.8155, 0.3773], [0.6803, 0.3155, 0.3773]], "sg": "Imma", "final_energy_ev_per_atom": -4.44, "magnetic_moment_mub_per_cell": 0.000}


No. 2
{"formula": "Er3Ag4Pd2", "functional": "GGA-PBE", "state": "optimized geometry", "lattice": [[5.2212, 0.1317, 0.5138], [0.7377, 8.0953, 2.9050], [0.3901, -0.3994, 8.6143]], "species": ["Ag", "Ag", "Ag", "Ag", "Ag", "Ag", "Ag", "Ag", "Er", "Er", "Er", "Er", "Er", "Er", "Pd", "Pd", "Pd", "Pd"], "frac_coords": [[0.1250, 0.6020, 0.8390], [0.8750, 0.3980, 0.1610], [0.3750, 0.1610, 0.3980], [0.9734, 0.1837, 0.9267], [0.4734, 0.9267, 0.1837], [0.0266, 0.8163, 0.0733], [0.5266, 0.0733, 0.8163], [0.6250, 0.8390, 0.6020], [0.0761, 0.9637, 0.7002], [0.5761, 0.7002, 0.9637], [0.9239, 0.0363, 0.2998], [0.7500, 0.6131, 0.3869], [0.4239, 0.2998, 0.0363], [0.2500, 0.3869, 0.6131], [0.8168, 0.2594, 0.5182], [0.3168, 0.5182, 0.2594], [0.6832, 0.4818, 0.7406], [0.1832, 0.7406, 0.4818]], "sg": "C2/c", "final_energy_ev_per_atom": -4.40, "magnetic_moment_mub_per_cell": 0.000}


No. 3
{"formula": "Er4AgPd12", "functional": "GGA-PBE", "state": "optimized geometry", "lattice": [[-6.2002, -3.6271, 1.6402], [-0.6145, 3.0114, -6.6964], [5.6816, -4.6907, 0.0715]], "species": ["Er", "Er", "Er", "Er", "Pd", "Pd", "Pd", "Pd", "Pd", "Pd", "Pd", "Pd", "Pd", "Pd", "Pd", "Pd", "Ag"], "frac_coords": [[0.5000, 0.5000, 0.5000], [0.5000, 0.0000, 0.0000], [0.0000, 0.0000, 0.5000], [0.0000, 0.5000, 0.0000], [0.0000, 0.3015, 0.3015], [0.3015, 0.0000, 0.3015], [0.2500, 0.7500, 0.5000], [0.7500, 0.5000, 0.2500], [0.5000, 0.7500, 0.2500], [0.7500, 0.2500, 0.5000], [0.5000, 0.2500, 0.7500], [0.6985, 0.6985, 0.0000], [0.3015, 0.3015, 0.0000], [0.0000, 0.6985, 0.6985], [0.6985, 0.0000, 0.6985], [0.2500, 0.5000, 0.7500], [0.0000, 0.0000, 0.0000]], "sg": "Im-3m", "final_energy_ev_per_atom": -5.65, "magnetic_moment_mub_per_cell": 0.000}


No. 4
{"formula": "ErAgPd4", "functional": "GGA-PBE", "state": "optimized geometry", "lattice": [[4.0311, 0.0000, 0.0000], [2.0155, 6.1587, -0.7141], [2.0155, -1.5300, 4.3225]], "species": ["Pd", "Pd", "Pd", "Pd", "Er", "Ag"], "frac_coords": [[0.1644, 0.1668, 0.5043], [0.8356, 0.8332, 0.4957], [0.3403, 0.3254, 0.9941], [0.6597, 0.6746, 0.0059], [0.5000, 0.5000, 0.5000], [0.0000, 0.0000, 0.0000]], "sg": "C2/m", "final_energy_ev_per_atom": -5.23, "magnetic_moment_mub_per_cell": 0.000, "de_polymorph_mev_per_atom": 0}